# Ti2Ga4Pd

Ti2Ga4Pd after structural relaxation (PBE-GGA, the Alexandria database).

Lattice parameters (Å, degrees): 4.8108 4.8108 7.2356 70.58 70.58 90.00
With the nearest neighbours (Å) after each atom.
Sites, in units of the cell vectors:
Ga 0.1976 0.1976 0.6047  1 Pd 2.52, 1 Ti 2.62
Ga 0.8024 0.8024 0.3953  1 Pd 2.52, 1 Ti 2.62
Ga 0.0000 0.5000 0.0000  2 Pd 2.41
Ga 0.5000 0.0000 0.0000  2 Pd 2.41
Pd 0.0000 0.0000 0.0000  6 Ga 2.41-2.52
Ti 0.4026 0.4026 0.1947  1 Ti 2.49, 5 Ga 2.62-2.71
Ti 0.5974 0.5974 0.8053  1 Ti 2.49, 5 Ga 2.62-2.71

Properties
The space group is No. 139. For the volume, the calculation gives 21.11 Å³ per atom. The calculation puts the uncorrected energy at -4.633 eV/atom. The value obtained for the formation energy is 0.09 eV per atom.

# La2Nd2ErHg5

La2Nd2ErHg5 after structural relaxation (PBE-GGA, the Alexandria database).

Lattice parameters (Å, degrees): 4.5423 11.2451 11.2451 90.00 90.00 90.00
With the nearest neighbours (Å) after each atom.
Sites, in units of the cell vectors:
La 0.0000 0.6748 0.1748  3 Nd 3.10-3.47
La 0.0000 0.3252 0.8252  3 Nd 3.10-3.47
La 0.0000 0.1748 0.3252  3 Nd 3.10-3.47
La 0.0000 0.8252 0.6748  3 Nd 3.10-3.47
Nd 0.0000 0.1301 0.6301  6 Hg 3.07-3.18, 1 La 3.10
Nd 0.0000 0.8699 0.3699  6 Hg 3.07-3.18, 1 La 3.10
Nd 0.0000 0.6301 0.8699  6 Hg 3.07-3.18, 1 La 3.10
Nd 0.0000 0.3699 0.1301  6 Hg 3.07-3.18, 1 La 3.10
Er 0.0000 0.0000 0.0000  8 Hg 3.17
Er 0.0000 0.5000 0.5000  8 Hg 3.17
Hg 0.5000 0.1777 0.0840  2 Hg 3.13, 2 Er 3.17, 2 Nd 3.18
Hg 0.5000 0.8223 0.9160  2 Hg 3.13, 2 Er 3.17, 2 Nd 3.18
Hg 0.5000 0.0840 0.8223  2 Hg 3.13, 2 Er 3.17, 2 Nd 3.18
Hg 0.5000 0.6777 0.4160  2 Hg 3.13, 2 Er 3.17, 2 Nd 3.18
Hg 0.5000 0.9160 0.1777  2 Hg 3.13, 2 Er 3.17, 2 Nd 3.18
Hg 0.5000 0.3223 0.5840  2 Hg 3.13, 2 Er 3.17, 2 Nd 3.18
Hg 0.5000 0.5840 0.6777  2 Hg 3.13, 2 Er 3.17, 2 Nd 3.18
Hg 0.5000 0.4160 0.3223  2 Hg 3.13, 2 Er 3.17, 2 Nd 3.18
Hg 0.5000 0.5000 0.0000  4 Nd 3.07
Hg 0.5000 0.0000 0.5000  4 Nd 3.07

Properties
The space group is No. 127. For the volume, the calculation gives 28.72 Å³ per atom. The calculation puts the uncorrected energy at -2.872 eV/atom. The value obtained for the formation energy is -0.33 eV per atom.

# In4TeI3

In4TeI3 after structural relaxation (PBE-GGA, the Alexandria database).

Lattice parameters (Å, degrees): 6.7213 6.7202 13.8310 90.00 90.00 90.00
With the nearest neighbours (Å) after each atom.
Sites, in units of the cell vectors:
In 0.0640 0.7511 0.0000  2 Te 3.36, 4 I 3.36-3.46
In 0.5639 0.2511 0.0000  4 I 3.36-3.46, 2 Te 3.36
In 0.0643 0.2502 0.2304  1 Te 3.19, 4 I 3.37-3.38
In 0.5643 0.7498 0.2696  1 Te 3.19, 4 I 3.37-3.38
In 0.0639 0.7489 0.5000  4 I 3.36-3.46, 2 Te 3.36
In 0.5640 0.2489 0.5000  2 Te 3.36, 4 I 3.36-3.46
In 0.5643 0.7498 0.7304  1 Te 3.19, 4 I 3.37-3.38
In 0.0643 0.2502 0.7696  1 Te 3.19, 4 I 3.37-3.38
Te 0.0645 0.2518 0.0000  6 In 3.19-3.36
Te 0.5645 0.7482 0.5000  6 In 3.19-3.36
I 0.5645 0.7518 0.0000  6 In 3.36-3.73
I 0.0648 0.7503 0.2500  6 In 3.37-3.46
I 0.5648 0.2497 0.2500  6 In 3.37-3.46
I 0.0645 0.2482 0.5000  6 In 3.36-3.73
I 0.5648 0.2497 0.7500  6 In 3.37-3.46
I 0.0648 0.7503 0.7500  6 In 3.37-3.46

Properties
The space group is No. 59. For the volume, the calculation gives 39.05 Å³ per atom. The calculation puts the uncorrected energy at -2.689 eV/atom.

# La2ReSi

La2ReSi after structural relaxation (PBE-GGA, the Alexandria database).

Lattice parameters (Å, degrees): 4.9643 4.9643 4.9643 120.24 120.24 89.59
With the nearest neighbours (Å) after each atom.
Sites, in units of the cell vectors:
La 0.0000 0.0000 0.0000  4 La 3.04, 4 Si 3.04
La 0.2500 0.7500 0.5000  4 Re 3.04, 4 La 3.04
Re 0.5000 0.5000 0.0000  4 La 3.04, 4 Si 3.04
Si 0.7500 0.2500 0.5000  4 La 3.04, 4 Re 3.04

Properties
The space group is No. 119. For the volume, the calculation gives 21.55 Å³ per atom. The calculation puts the uncorrected energy at -6.734 eV/atom.

# GaTcTeO2

GaTcTeO2 after structural relaxation (PBE-GGA, the Alexandria database).

Lattice parameters (Å, degrees): 3.8134 5.9905 3.8134 90.00 90.00 90.00
With the nearest neighbours (Å) after each atom.
Sites, in units of the cell vectors:
O 0.0000 0.0000 0.5000  2 Tc 1.91
O 0.5000 0.0000 0.0000  2 Tc 1.91
Te 0.5000 0.5000 0.5000  4 Ga 2.70
Tc 0.0000 0.0000 0.0000  4 O 1.91
Ga 0.0000 0.5000 0.0000  4 Te 2.70, 2 Tc 3.00

Properties
The space group is No. 123. For the volume, the calculation gives 17.42 Å³ per atom. The calculation puts the uncorrected energy at -5.914 eV/atom.

# V2Pd4Rh

V2Pd4Rh after structural relaxation (PBE-GGA, the Alexandria database).

Lattice parameters (Å, degrees): 5.4192 5.4965 9.0174 80.04 72.51 60.46
With the nearest neighbours (Å) after each atom.
Sites, in units of the cell vectors:
V 0.2350 0.0254 0.5046  6 Pd 2.43-2.71, 1 V 2.51
V 0.5000 0.0000 0.0000  6 Pd 2.69-2.85, 4 Rh 2.75
V 0.5000 0.5000 0.5000  2 V 2.51, 6 Pd 2.54-2.71
V 0.7650 0.9746 0.4954  6 Pd 2.43-2.71, 1 V 2.51
Pd 0.2215 0.2958 0.2612  2 V 2.43-2.69, 2 Pd 2.70
Pd 0.2547 0.7282 0.7623  2 V 2.54-2.60, 2 Rh 2.66, 6 Pd 2.72-2.80
Pd 0.2795 0.2193 0.7300  4 V 2.57-2.85, 6 Pd 2.66-2.80, 1 Rh 2.72
Pd 0.7712 0.2193 0.7300  4 V 2.57-2.85, 6 Pd 2.66-2.80, 1 Rh 2.72
Pd 0.2288 0.7807 0.2700  4 V 2.57-2.85, 6 Pd 2.66-2.80, 1 Rh 2.72
Pd 0.7452 0.2718 0.2377  2 V 2.54-2.60, 2 Rh 2.66, 6 Pd 2.72-2.80
Pd 0.7205 0.7807 0.2700  4 V 2.57-2.85, 6 Pd 2.66-2.80, 1 Rh 2.72
Pd 0.7785 0.7042 0.7388  2 V 2.43-2.69, 2 Pd 2.70
Rh 0.0000 0.5000 0.0000  6 Pd 2.66-2.78, 2 Rh 2.71, 2 V 2.75
Rh 0.5000 0.5000 0.0000  6 Pd 2.66-2.78, 2 Rh 2.71, 2 V 2.75

Properties
The space group is No. 12. For the volume, the calculation gives 15.91 Å³ per atom. The calculation puts the uncorrected energy at -6.537 eV/atom. The value obtained for the formation energy is 0.09 eV per atom.